# 1
RbPt3 after structural relaxation. Source: Alexandria via LeMat-Bulk, functional PBE.

Summary:
- E above lowest polymorph (meV/atom) = 508
- energy of formation from the pure elements (eV/f.u.) = 1.46

a = 3.794 Å, b = 3.794 Å, c = 28.671 Å
α = 90.00°, β = 90.00°, γ = 90.00°
Space group I4/mmm (No. 139)
Inequivalent atoms, fractional coordinates:
Rb 0.000 0.000 0.147 [4 per cell]
Pt 0.000 0.000 0.436 [4 per cell]
Pt 0.000 0.500 0.000 [4 per cell]
Pt 0.000 0.500 0.250 [4 per cell]

# 2
RbPt3 after structural relaxation. Source: Alexandria via LeMat-Bulk, functional PBE.

Summary:
- E above lowest polymorph (meV/atom) = 929
- energy of formation from the pure elements (eV/f.u.) = 3.14

a = 6.783 Å, b = 6.783 Å, c = 6.783 Å
α = 90.00°, β = 90.00°, γ = 90.00°
Space group Fm-3m (No. 225)
Inequivalent atoms, fractional coordinates:
Rb 0.000 0.000 0.000 [4 per cell]
Pt 0.000 0.000 0.500 [4 per cell]
Pt 0.250 0.250 0.250 [8 per cell]